A relaxed structure of TaTiIrRh, computed with PBE-GGA. Values from VASP.

The value obtained for the density of states at the Fermi level is 1.52 states/eV per atom. For the size of the total moment, the calculation gives 0.0 μB/cell. As for the space-group type: No. 216. The value obtained for the energy is -9.53 eV per atom. For the formation energy, the calculation gives -208 kJ/mol of formula units.

Quantum ESPRESSO input file:
```
&SYSTEM
  ibrav = 0, nat = 4, ntyp = 4
/
ATOMIC_SPECIES
Ir 192.22 Ir.upf
Ta 180.95 Ta.upf
Ti 47.87 Ti.upf
Rh 102.91 Rh.upf
CELL_PARAMETERS angstrom
-1.651 -3.784 -1.725
2.676 -3.534 -0.612
-0.455 -3.625 2.584
ATOMIC_POSITIONS crystal
Ir 0.000 0.000 0.000
Ta 0.250 0.250 0.250
Ti 0.750 0.750 0.750
Rh 0.500 0.500 0.500
```

---

A relaxed structure of TaTiIrRh, computed with PBE-GGA. Values from VASP.

The value obtained for the density of states at the Fermi level is 0.91 states/eV per atom. For the size of the total moment, the calculation gives 0.0 μB/cell. As for the space-group type: No. 119. The value obtained for the energy is -9.65 eV per atom. For the formation energy, the calculation gives -253 kJ/mol of formula units.

Quantum ESPRESSO input file:
```
&SYSTEM
  ibrav = 0, nat = 4, ntyp = 4
/
ATOMIC_SPECIES
Ti 47.87 Ti.upf
Ta 180.95 Ta.upf
Ir 192.22 Ir.upf
Rh 102.91 Rh.upf
CELL_PARAMETERS angstrom
-0.141 1.965 3.606
-4.015 0.693 -0.534
1.302 -4.512 0.168
ATOMIC_POSITIONS crystal
Ti 0.500 0.500 0.000
Ta 0.000 0.000 0.000
Ir 0.250 0.750 0.500
Rh 0.750 0.250 0.500
```

---

A relaxed structure of TaTiIr2Rh, computed with PBE-GGA. Values from VASP.

The value obtained for the density of states at the Fermi level is 1.53 states/eV per atom. For the size of the total moment, the calculation gives 0.1 μB/cell. As for the space-group type: No. 123. The value obtained for the energy is -7.91 eV per atom. For the formation energy, the calculation gives 507 kJ/mol of formula units.

Quantum ESPRESSO input file:
```
&SYSTEM
  ibrav = 0, nat = 5, ntyp = 4
/
ATOMIC_SPECIES
Ti 47.87 Ti.upf
Ta 180.95 Ta.upf
Ir 192.22 Ir.upf
Rh 102.91 Rh.upf
CELL_PARAMETERS angstrom
-2.003 0.251 4.313
2.869 -3.307 1.525
3.159 3.328 1.274
ATOMIC_POSITIONS crystal
Ti 0.500 0.500 0.500
Ta 0.000 0.000 0.000
Ir 0.500 0.000 0.000
Ir 0.000 0.000 0.500
Rh 0.000 0.500 0.000
```

---

A relaxed structure of TaTl2IrRh, computed with PBE-GGA. Values from VASP.

The value obtained for the density of states at the Fermi level is 1.50 states/eV per atom. For the size of the total moment, the calculation gives 0.0 μB/cell. As for the space-group type: No. 123. The value obtained for the energy is -5.06 eV per atom. For the formation energy, the calculation gives 725 kJ/mol of formula units.

Quantum ESPRESSO input file:
```
&SYSTEM
  ibrav = 0, nat = 5, ntyp = 4
/
ATOMIC_SPECIES
Tl 204.38 Tl.upf
Ta 180.95 Ta.upf
Rh 102.91 Rh.upf
Ir 192.22 Ir.upf
CELL_PARAMETERS angstrom
5.014 0.000 0.000
0.000 4.752 0.000
0.000 0.000 5.014
ATOMIC_POSITIONS crystal
Tl 0.000 0.000 0.500
Ta 0.500 0.500 0.500
Tl 0.500 0.000 0.000
Rh 0.000 0.000 0.000
Ir 0.000 0.500 0.000
```

---

A relaxed structure of Ta2VIrRh, computed with PBE-GGA. Values from VASP.

The value obtained for the density of states at the Fermi level is 0.96 states/eV per atom. For the size of the total moment, the calculation gives 0.0 μB/cell. As for the space-group type: No. 123. The value obtained for the energy is -8.77 eV per atom. For the formation energy, the calculation gives 500 kJ/mol of formula units.

Quantum ESPRESSO input file:
```
&SYSTEM
  ibrav = 0, nat = 5, ntyp = 4
/
ATOMIC_SPECIES
Ta 180.95 Ta.upf
Rh 102.91 Rh.upf
Ir 192.22 Ir.upf
V 50.94 V.upf
CELL_PARAMETERS angstrom
-1.422 4.069 -1.469
1.108 -1.152 -4.265
-4.003 -1.617 -0.603
ATOMIC_POSITIONS crystal
Ta 0.500 0.000 0.000
Rh 0.000 0.000 0.500
Ir 0.500 0.500 0.500
V 0.000 0.000 0.000
Ta 0.000 0.500 0.000
```

---

A relaxed structure of Ta2VIrRh, computed with PBE-GGA. Values from VASP.

The value obtained for the density of states at the Fermi level is 1.48 states/eV per atom. For the size of the total moment, the calculation gives 3.6 μB/cell. As for the space-group type: No. 123. The value obtained for the energy is -8.50 eV per atom. For the formation energy, the calculation gives 632 kJ/mol of formula units.

Quantum ESPRESSO input file:
```
&SYSTEM
  ibrav = 0, nat = 5, ntyp = 4
/
ATOMIC_SPECIES
V 50.94 V.upf
Ta 180.95 Ta.upf
Ir 192.22 Ir.upf
Rh 102.91 Rh.upf
CELL_PARAMETERS angstrom
4.770 0.000 0.000
0.000 4.850 0.000
0.000 0.000 4.770
ATOMIC_POSITIONS crystal
V 0.500 0.500 0.500
Ta 0.000 0.000 0.500
Ta 0.500 0.000 0.000
Ir 0.000 0.000 0.000
Rh 0.000 0.500 0.000
```

---

Look up the size of the total moment of the fifth one. 0.0 μB/cell